Record 1
Cs2RbNp3S8, relaxed, DFT GGA-PBE; E_tot = -6.58 eV/atom; energy relative to the elements, uncorrected = -1702 kJ/mol of formula units; crystal system = trigonal; volume = 34.2 Å³ per atom
1.0
4.102 2.368 8.215
-4.102 2.368 8.215
0.000 -4.737 8.215
Cs Rb Np S
2 1 3 8
Direct
0.000 0.000 0.000
0.364 0.364 0.364
0.733 0.733 0.733
0.364 0.364 0.863
0.364 0.863 0.364
0.863 0.364 0.364
0.104 0.104 0.549
0.104 0.549 0.104
0.140 0.140 0.140
0.176 0.624 0.624
0.549 0.104 0.104
0.589 0.589 0.589
0.624 0.176 0.624
0.624 0.624 0.176

***

Record 2
LaGdCoHg, relaxed, DFT GGA-PBE; energy relative to the elements = -0.16 eV/atom; E_tot = -6.77 eV/atom; crystal system = cubic; volume = 24.8 Å³ per atom
1.0
0.000 3.676 3.676
3.676 0.000 3.676
3.676 3.676 0.000
La Gd Co Hg
1 1 1 1
Direct
0.000 0.000 0.000
0.500 0.500 0.500
0.250 0.250 0.250
0.750 0.750 0.750

***

Record 3
VNi2Rh2, relaxed, DFT GGA-PBE; energy relative to the elements = 0.13 eV/atom; E_tot = -6.95 eV/atom; excess energy over the best structure of this formula in the dataset = 302 meV/atom; crystal system = tetragonal; volume = 13.4 Å³ per atom
1.0
6.827 0.000 0.000
0.000 6.827 0.000
0.000 0.000 2.872
V Ni Rh
2 4 4
Direct
0.000 0.000 0.000
0.500 0.500 0.000
0.163 0.337 0.500
0.337 0.837 0.500
0.663 0.163 0.500
0.837 0.663 0.500
0.136 0.636 0.000
0.364 0.136 0.000
0.636 0.864 0.000
0.864 0.364 0.000

***

Record 4
NdSmGeRu, relaxed, DFT GGA-PBE; energy relative to the elements = -0.55 eV/atom; E_tot = -6.40 eV/atom; crystal system = orthorhombic; volume = 24.0 Å³ per atom
1.0
3.931 0.000 0.000
0.000 2.187 5.576
0.000 -2.187 5.576
Nd Sm Ge Ru
1 1 1 1
Direct
0.000 0.000 0.000
0.500 0.720 0.720
0.500 0.417 0.417
0.000 0.270 0.270